No. 1
Density functional theory data (PBE) for an optimized crystal structure of CuSb2Os.

Calculated values
N(E_F) = 1.82 states/eV/f.u.
Formation energy (no corrections) = 0.42 eV/atom
Polymorph energy (0 for the lowest one) = 121 meV/atom

a b c (Å): 4.4287 4.4287 5.6513
angles (deg): 81.56 81.56 44.33
With the nearest neighbours (Å) after each atom.
Sites, in units of the cell vectors:
1 Sb 0.0162 0.0162 0.9907  1 Cu 2.59, 3 Os 2.74-2.75
2 Sb 0.4838 0.4838 0.5093  1 Cu 2.59, 3 Os 2.74-2.75
3 Os 0.7500 0.7500 0.7500  6 Sb 2.74-2.75
4 Cu 0.2500 0.2500 0.2500  2 Sb 2.59



No. 2
Density functional theory data (PBE) for an optimized crystal structure of Zn3PN.

Calculated values
N(E_F) = 0.00 states/eV/f.u.
Formation energy (no corrections) = 0.26 eV/atom
Polymorph energy (0 for the lowest one) = 0 meV/atom

a b c (Å): 4.1200 4.1200 4.1200
angles (deg): 90.00 90.00 90.00
With the nearest neighbours (Å) after each atom.
Sites, in units of the cell vectors:
1 Zn 0.0000 0.0000 0.5000  2 N 2.06
2 Zn 0.0000 0.5000 0.0000  2 N 2.06
3 Zn 0.5000 0.0000 0.0000  2 N 2.06
4 N 0.0000 0.0000 0.0000  6 Zn 2.06
5 P 0.5000 0.5000 0.5000  12 Zn 2.91